# 1
A relaxed Dy4PRhS2 crystal, computed with PBE-GGA.

Total magnetic moment   0.000 Bohr magnetons per cell
Formation energy (no corrections)   -1.547 eV/atom
Symmetry   P2/m (10)

Cell lengths 6.918, 3.931, 6.960 Å; angles 90.00, 108.64, 90.00 degrees
Fractional coordinates of all 8 atoms:
Dy: 0.246 0.000 0.242
Dy: 0.249 0.500 0.760
Dy: 0.751 0.500 0.240
Dy: 0.754 0.000 0.758
P: 0.500 0.000 0.000
Rh: 0.000 0.500 0.000
S: 0.000 0.000 0.500
S: 0.500 0.500 0.500

# 2
A relaxed Dy2ScP3Rh12 crystal, computed with PBE-GGA.

Total magnetic moment   0.000 Bohr magnetons per cell
Calculated total energy   -7.09 eV/atom
Symmetry   R-3m (166)

Cell lengths 6.672, 6.672, 6.672 Å; angles 83.21, 83.21, 83.21 degrees
Fractional coordinates of all 18 atoms:
Dy: 0.127 0.127 0.127
Dy: 0.873 0.873 0.873
Sc: 0.500 0.500 0.500
P: 0.000 0.500 0.500
P: 0.500 0.000 0.500
P: 0.500 0.500 0.000
Rh: 0.131 0.131 0.592
Rh: 0.131 0.592 0.131
Rh: 0.169 0.677 0.677
Rh: 0.323 0.323 0.831
Rh: 0.323 0.831 0.323
Rh: 0.408 0.869 0.869
Rh: 0.592 0.131 0.131
Rh: 0.677 0.169 0.677
Rh: 0.677 0.677 0.169
Rh: 0.831 0.323 0.323
Rh: 0.869 0.408 0.869
Rh: 0.869 0.869 0.408

# 3
A relaxed DyScP2Rh5 crystal, computed with PBE-GGA.

Total magnetic moment   0.000 Bohr magnetons per cell
Calculated total energy   -7.23 eV/atom
Symmetry   P4/mmm (123)

Cell lengths 4.031, 4.031, 10.248 Å; angles 90.00, 90.00, 90.00 degrees
Fractional coordinates of all 9 atoms:
Dy: 0.000 0.000 0.000
Sc: 0.000 0.000 0.500
P: 0.500 0.500 0.221
P: 0.500 0.500 0.779
Rh: 0.000 0.500 0.319
Rh: 0.000 0.500 0.681
Rh: 0.500 0.000 0.319
Rh: 0.500 0.000 0.681
Rh: 0.500 0.500 0.000

# 4
A relaxed Dy3ScP2Rh9 crystal, computed with PBE-GGA.

Total magnetic moment   0.000 Bohr magnetons per cell
Calculated total energy   -7.08 eV/atom
Symmetry   P-3m1 (164)

Cell lengths 6.012, 6.012, 9.123 Å; angles 90.00, 90.00, 120.00 degrees
Fractional coordinates of all 15 atoms:
Dy: 0.000 0.000 0.000
Dy: 0.333 0.667 0.690
Dy: 0.667 0.333 0.310
Sc: 0.000 0.000 0.500
P: 0.333 0.667 0.159
P: 0.667 0.333 0.841
Rh: 0.000 0.500 0.000
Rh: 0.153 0.306 0.279
Rh: 0.153 0.847 0.279
Rh: 0.306 0.153 0.721
Rh: 0.500 0.000 0.000
Rh: 0.500 0.500 0.000
Rh: 0.694 0.847 0.279
Rh: 0.847 0.153 0.721
Rh: 0.847 0.694 0.721

# 5
A relaxed Dy4PRhSe2 crystal, computed with PBE-GGA.

Total magnetic moment   0.000 Bohr magnetons per cell
Formation energy (no corrections)   -1.470 eV/atom
Symmetry   P2/m (10)

Cell lengths 7.056, 4.004, 7.139 Å; angles 90.00, 108.55, 90.00 degrees
Fractional coordinates of all 8 atoms:
Dy: 0.240 0.000 0.228
Dy: 0.254 0.500 0.773
Dy: 0.746 0.500 0.227
Dy: 0.760 0.000 0.772
P: 0.500 0.000 0.000
Rh: 0.000 0.500 0.000
Se: 0.000 0.000 0.500
Se: 0.500 0.500 0.500

# 6
A relaxed Sm2DyP3Rh4 crystal, computed with PBE-GGA.

Total magnetic moment   0.000 Bohr magnetons per cell
Calculated total energy   -7.04 eV/atom
Symmetry   P-4m2 (115)

Cell lengths 4.011, 4.011, 11.231 Å; angles 90.00, 90.00, 90.00 degrees
Fractional coordinates of all 10 atoms:
Sm: 0.000 0.500 0.223
Sm: 0.500 0.000 0.777
Dy: 0.000 0.000 0.500
P: 0.000 0.500 0.876
P: 0.500 0.000 0.124
P: 0.500 0.500 0.500
Rh: 0.000 0.000 0.000
Rh: 0.000 0.500 0.670
Rh: 0.500 0.000 0.330
Rh: 0.500 0.500 0.000